1.
Crystalline Ca2ZnCd at its relaxed geometry. Source: the Alexandria database, functional PBE-GGA.

The structure in POSCAR format:
```
Ca2ZnCd
1.0
-3.6164 5.6240 4.9766
-5.9650 -5.5069 1.8886
-2.8603 -1.1017 6.1466
Ca Zn Cd
4 2 2
Direct
0.8750 0.8565 0.7500 Ca
0.3750 0.3935 0.7500 Ca
0.1435 0.6250 0.2500 Ca
0.6065 0.1250 0.2500 Ca
0.2500 0.7500 0.5000 Zn
0.5000 0.5000 0.0000 Zn
0.7500 0.2500 0.5000 Cd
0.0000 0.0000 0.0000 Cd
```

Values from the calculation:
total DFT energy (no corrections): -1.551 eV per atom
N(E_F): 0.818 states/eV per atom
V: 30.6 A^3/atom
space group: No. 122

***

2.
Crystalline CaZnCd at its relaxed geometry. Source: the Alexandria database, functional PBE-GGA.

The structure in POSCAR format:
```
CaZnCd
1.0
-2.6107 -3.1384 1.9926
-2.7667 -3.7227 -4.3102
2.7080 -5.1734 0.5778
Ca Zn Cd
2 2 2
Direct
0.5573 0.1928 0.6925 Ca
0.4427 0.8072 0.3075 Ca
0.1443 0.8139 0.8975 Zn
0.8557 0.1861 0.1025 Zn
0.1747 0.3967 0.2538 Cd
0.8253 0.6033 0.7462 Cd
```

Values from the calculation:
total DFT energy (no corrections): -1.703 eV per atom
N(E_F): 0.539 states/eV per atom
V: 24.0 A^3/atom
space group: No. 12

***

3.
Crystalline Ca2ZnCd at its relaxed geometry. Source: the Alexandria database, functional PBE-GGA.

The structure in POSCAR format:
```
Ca2ZnCd
1.0
4.8930 -0.0195 -0.0023
3.3577 3.5592 -0.0023
1.5241 0.6539 6.9668
Ca Zn Cd
2 1 1
Direct
0.9952 0.9952 0.0139 Ca
0.5048 0.5048 0.4861 Ca
0.2500 0.2500 0.2500 Zn
0.7500 0.7500 0.7500 Cd
```

Values from the calculation:
total DFT energy (no corrections): -1.653 eV per atom
N(E_F): 0.658 states/eV per atom
V: 30.5 A^3/atom
space group: No. 12

***

4.
Crystalline Ca2ZnCd at its relaxed geometry. Source: the Alexandria database, functional PBE-GGA.

The structure in POSCAR format:
```
Ca2ZnCd
1.0
-1.2781 -4.4906 -4.1001
3.9798 -0.7618 -4.7107
0.3489 0.5203 6.1820
Cd Zn Ca
1 1 2
Direct
0.5000 0.5000 0.0000 Cd
0.7500 0.2500 0.5000 Zn
0.0000 0.0000 0.0000 Ca
0.2500 0.7500 0.5000 Ca
```

Values from the calculation:
total DFT energy (no corrections): -1.679 eV per atom
N(E_F): 0.827 states/eV per atom
V: 27.8 A^3/atom
space group: No. 119

***

5.
Crystalline Ca2ZnCd at its relaxed geometry. Source: the Alexandria database, functional PBE-GGA.

The structure in POSCAR format:
```
Ca2ZnCd
1.0
6.9451 -4.1056 4.8358
-4.2730 6.8433 -4.8358
2.3842 -4.9999 7.6021
Ca Zn Cd
2 1 1
Direct
0.6714 0.0000 0.6714 Ca
0.3286 0.0000 0.3286 Ca
0.0000 0.0000 0.0000 Zn
0.5000 0.0000 0.5000 Cd
```

Values from the calculation:
total DFT energy (no corrections): -1.422 eV per atom
N(E_F): 0.767 states/eV per atom
V: 32.9 A^3/atom
space group: No. 139

***

6.
Crystalline Ca4ZnCd at its relaxed geometry. Source: the Alexandria database, functional PBE-GGA.

The structure in POSCAR format:
```
Ca4ZnCd
1.0
5.3984 0.0000 0.0000
2.6992 4.6730 0.2755
2.6992 1.0852 8.4262
Zn Ca Cd
1 4 1
Direct
0.0000 0.0000 0.0000 Zn
0.3687 0.3688 0.8939 Ca
0.1223 0.1216 0.6337 Ca
0.8777 0.8784 0.3663 Ca
0.6313 0.6312 0.1061 Ca
0.5000 0.5000 0.5000 Cd
```

Values from the calculation:
N(E_F): 1.229 states/eV per atom
V: 35.2 A^3/atom
space group: No. 12
ΔE to the lowest computed polymorph: 144 meV/atom

***

7.
Crystalline Ca3Zn2Cd4 at its relaxed geometry. Source: the Alexandria database, functional PBE-GGA.

The structure in POSCAR format:
```
Ca3Zn2Cd4
1.0
4.6602 0.0000 1.2432
2.0187 5.4596 1.7889
0.1477 -0.2418 8.8030
Ca Cd Zn
3 4 2
Direct
0.3243 0.7006 0.6508 Ca
0.6757 0.2994 0.3492 Ca
0.0000 0.0000 0.0000 Ca
0.7188 0.6250 0.9374 Cd
0.2812 0.3750 0.0626 Cd
0.9628 0.7058 0.3686 Cd
0.0372 0.2942 0.6314 Cd
0.4092 0.9192 0.2624 Zn
0.5908 0.0808 0.7376 Zn
```

Values from the calculation:
total DFT energy (no corrections): -1.659 eV per atom
N(E_F): 0.557 states/eV per atom
V: 24.9 A^3/atom
space group: No. 12

***

8.
Crystalline CaZnCd6 at its relaxed geometry. Source: the Alexandria database, functional PBE-GGA.

The structure in POSCAR format:
```
CaZnCd6
1.0
-1.8764 3.3717 2.7496
-2.1299 -1.5079 4.4778
6.4445 2.3823 5.5586
Cd Ca Zn
6 1 1
Direct
0.4596 0.8124 0.2684 Cd
0.7572 0.5903 0.8953 Cd
0.7504 0.1758 0.3235 Cd
0.2428 0.4097 0.1047 Cd
0.2496 0.8242 0.6765 Cd
0.5404 0.1876 0.7316 Cd
0.0000 0.5000 0.5000 Ca
0.0000 0.0000 0.0000 Zn
```

Values from the calculation:
total DFT energy (no corrections): -1.196 eV per atom
N(E_F): 0.315 states/eV per atom
V: 23.2 A^3/atom
space group: No. 12

***

9.
Crystalline Ca3ZnCd2 at its relaxed geometry. Source: the Alexandria database, functional PBE-GGA.

The structure in POSCAR format:
```
Ca3ZnCd2
1.0
3.7420 0.0000 0.0000
0.0000 5.1242 -1.6964
0.0000 -0.0281 8.5025
Zn Ca Cd
1 3 2
Direct
0.0000 0.0000 0.0000 Zn
0.5000 0.5000 0.0000 Ca
0.5000 0.1604 0.3209 Ca
0.5000 0.8396 0.6791 Ca
0.0000 0.3292 0.6583 Cd
0.0000 0.6708 0.3417 Cd
```

Values from the calculation:
total DFT energy (no corrections): -1.831 eV per atom
N(E_F): 0.758 states/eV per atom
V: 27.1 A^3/atom
space group: No. 65

***

10.
Crystalline CaZn2Cd3 at its relaxed geometry. Source: the Alexandria database, functional PBE-GGA.

The structure in POSCAR format:
```
CaZn2Cd3
1.0
4.6064 0.0000 0.0000
-2.3032 9.1434 0.2210
0.0000 -3.9394 6.1559
Zn Cd Ca
4 6 2
Direct
0.4860 0.9721 0.8097 Zn
0.5140 0.0279 0.1903 Zn
0.2343 0.4686 0.8021 Zn
0.7657 0.5314 0.1979 Zn
0.0652 0.1304 0.4373 Cd
0.3072 0.6144 0.5409 Cd
0.6928 0.3856 0.4591 Cd
0.3703 0.7406 0.2381 Cd
0.6297 0.2594 0.7619 Cd
0.9348 0.8696 0.5627 Cd
0.1189 0.2377 0.0578 Ca
0.8811 0.7623 0.9422 Ca
```

Values from the calculation:
total DFT energy (no corrections): -1.381 eV per atom
N(E_F): 0.375 states/eV per atom
V: 21.9 A^3/atom
space group: No. 12

***

11.
Crystalline Ca2Zn6Cd at its relaxed geometry. Source: the Alexandria database, functional PBE-GGA.

The structure in POSCAR format:
```
Ca2Zn6Cd
1.0
-2.6159 -3.1522 4.6910
5.0277 0.0463 2.8410
1.2397 4.3340 3.6098
Zn Ca Cd
6 2 1
Direct
0.6504 0.1785 0.1785 Zn
0.6512 0.6429 0.1788 Zn
0.3488 0.3571 0.8212 Zn
0.6512 0.1788 0.6429 Zn
0.3488 0.8212 0.3571 Zn
0.3496 0.8215 0.8215 Zn
0.1423 0.3332 0.3332 Ca
0.8577 0.6668 0.6668 Ca
0.0000 0.0000 0.0000 Cd
```

Values from the calculation:
total DFT energy (no corrections): -1.624 eV per atom
N(E_F): 0.371 states/eV per atom
V: 20.0 A^3/atom
space group: No. 164

***

12.
Crystalline CaZn6Cd6 at its relaxed geometry. Source: the Alexandria database, functional PBE-GGA.

The structure in POSCAR format:
```
CaZn6Cd6
1.0
5.5147 0.0000 0.0000
2.7574 6.7539 -0.1625
2.7574 -0.0008 6.7559
Cd Zn Ca
6 6 1
Direct
0.6544 0.3456 0.3456 Cd
0.0000 0.3456 0.6544 Cd
0.6937 0.8063 0.8063 Cd
0.0000 0.6544 0.3456 Cd
0.3063 0.1937 0.1937 Cd
0.3456 0.6544 0.6544 Cd
0.0000 0.5000 0.0000 Zn
0.5000 0.5000 0.0000 Zn
0.0000 0.0000 0.5000 Zn
0.5000 0.7718 0.2282 Zn
0.5000 0.0000 0.5000 Zn
0.5000 0.2282 0.7718 Zn
0.0000 0.0000 0.0000 Ca
```

Values from the calculation:
total DFT energy (no corrections): -1.258 eV per atom
N(E_F): 0.230 states/eV per atom
V: 19.4 A^3/atom
space group: No. 71